(1)
The following is a PBE calculation of a relaxed TaW crystal, from the Open Quantum Materials Database.

a b c (Å): 2.7251 2.7251 4.6983
angles (deg): 90.00 90.00 90.00
Last column: nearest neighbours and their distance in Å.
Space group P4/mmm (No. 123)
Unique sites:
Ta 0.0000 0.0000 0.0000 [1 per cell]  4 Ta 2.73, 8 W 3.04
W 0.5000 0.5000 0.5000 [1 per cell]  4 W 2.73, 8 Ta 3.04

Results
volume: 34.9 Å³/f.u.
size of the total moment: 0.004 μB per atom
formation energy from the elements: 22.83 kJ per mole of atoms
total DFT energy (no corrections): -12.170 eV/atom

---

(2)
The following is a PBE calculation of a relaxed Er2Al2NiPt3 crystal, from the Open Quantum Materials Database.

a b c (Å): 4.2898 4.2898 9.0594
angles (deg): 90.00 90.00 120.00
Last column: nearest neighbours and their distance in Å.
Space group P3m1 (No. 156)
Unique sites:
Er 0.0000 0.0000 0.0000 [1 per cell]  7 Pt 2.91-3.15, 1 Ni 2.94
Er 0.3333 0.6667 0.4925 [1 per cell]  5 Pt 2.87-3.06, 3 Ni 2.91
Al 0.6667 0.3333 0.2488 [1 per cell]  3 Pt 2.57, 3 Ni 2.57
Al 0.6667 0.3333 0.7444 [1 per cell]  6 Pt 2.60-2.61
Ni 0.0000 0.0000 0.3241 [1 per cell]  3 Al 2.57, 3 Pt 2.82
Pt 0.0000 0.0000 0.6528 [1 per cell]  3 Al 2.61, 3 Er 2.87
Pt 0.3333 0.6667 0.1744 [1 per cell]  3 Al 2.57, 3 Ni 2.82
Pt 0.3333 0.6667 0.8308 [1 per cell]  3 Al 2.60

Results
volume: 144.4 Å³/f.u.
size of the total moment: 0.000 μB per atom
total DFT energy (no corrections): -6.105 eV/atom

---

The lowest volume belongs to which entry? TaW